# Ba2TaAg

Ba2TaAg after structural relaxation (PBEsol, Alexandria).

a b c (Å): 3.409 5.786 6.665
angles (deg): 110.35 104.82 90.00
Atoms (fractional coordinates):
Ta: 0.458 0.491 0.915
Ba: 0.027 0.053 0.053
Ag: 0.788 0.251 0.575
Ba: 0.228 0.705 0.456

Calculated values
- energy above the most stable polymorph in this dataset (eV/atom) = 0.000
- crystal system = monoclinic
- energy of formation (eV per atom) = 0.69

---

# BaTaAg2

BaTaAg2 after structural relaxation (PBEsol, Alexandria).

a b c (Å): 3.004 5.418 5.418
angles (deg): 90.00 90.00 90.00
Atoms (fractional coordinates):
Ba: 0.500 0.500 0.500
Ag: 0.000 0.500 0.000
Ag: 0.000 0.000 0.500
Ta: 0.500 0.000 0.000

Calculated values
- energy above the most stable polymorph in this dataset (eV/atom) = 0.066
- crystal system = tetragonal
- energy of formation (eV per atom) = 0.64

---

# BaTaAg

BaTaAg after structural relaxation (PBEsol, Alexandria).

a b c (Å): 3.138 3.138 7.591
angles (deg): 101.93 101.93 90.00
Atoms (fractional coordinates):
Ag: 0.021 0.021 0.043
Ta: 0.642 0.642 0.284
Ba: 0.336 0.336 0.673

Calculated values
- crystal system = tetragonal
- energy of formation (eV per atom) = 0.71

---

# BaTa2Ag

BaTa2Ag after structural relaxation (PBEsol, Alexandria).

a b c (Å): 3.411 3.412 8.112
angles (deg): 90.00 90.00 90.00
Atoms (fractional coordinates):
Ta: 0.500 0.500 0.235
Ba: 0.500 0.500 0.746
Ag: 0.000 0.000 0.440
Ta: 0.000 0.000 0.078

Calculated values
- energy above the most stable polymorph in this dataset (eV/atom) = 0.000
- crystal system = tetragonal
- energy of formation (eV per atom) = 0.50

---

# BaTaAg2

BaTaAg2 after structural relaxation (PBEsol, Alexandria).

a b c (Å): 2.989 4.661 6.871
angles (deg): 90.00 102.52 90.00
Atoms (fractional coordinates):
Ag: 0.916 0.500 0.208
Ta: 0.239 0.500 0.851
Ag: 0.797 0.000 0.969
Ba: 0.548 0.000 0.472

Calculated values
- energy above the most stable polymorph in this dataset (eV/atom) = 0.000
- crystal system = orthorhombic
- energy of formation (eV per atom) = 0.57

---

# BaTaAg3

BaTaAg3 after structural relaxation (PBEsol, Alexandria).

a b c (Å): 5.182 5.182 5.182
angles (deg): 90.00 90.00 90.00
Atoms (fractional coordinates):
Ba: 0.500 0.500 0.500
Ag: 0.000 0.500 0.000
Ag: 0.500 0.000 0.000
Ag: 0.000 0.000 0.500
Ta: 0.000 0.000 0.000

Calculated values
- crystal system = cubic
- energy of formation (eV per atom) = 0.73

---

# BaTaAg2

BaTaAg2 after structural relaxation (PBEsol, Alexandria).

a b c (Å): 3.091 3.091 10.543
angles (deg): 81.57 81.57 60.00
Atoms (fractional coordinates):
Ag: 0.261 0.261 0.217
Ba: 0.500 0.500 0.500
Ta: 0.000 0.000 0.000
Ag: 0.739 0.739 0.783

Calculated values
- energy above the most stable polymorph in this dataset (eV/atom) = 0.045
- crystal system = trigonal
- energy of formation (eV per atom) = 0.61

---

# BaTaAg2

BaTaAg2 after structural relaxation (PBEsol, Alexandria).

a b c (Å): 3.573 4.883 4.996
angles (deg): 90.00 90.00 90.00
Atoms (fractional coordinates):
Ta: 0.000 0.500 0.500
Ba: 0.500 0.500 0.000
Ag: 0.000 0.000 0.000
Ag: 0.500 0.000 0.500

Calculated values
- energy above the most stable polymorph in this dataset (eV/atom) = 0.320
- crystal system = orthorhombic
- energy of formation (eV per atom) = 0.89

---

# Ba2TaAg

Ba2TaAg after structural relaxation (PBEsol, Alexandria).

a b c (Å): 3.600 4.980 7.036
angles (deg): 90.00 104.82 90.00
Atoms (fractional coordinates):
Ta: 0.797 0.000 0.594
Ba: 0.398 0.500 0.796
Ag: 0.699 0.500 0.398
Ba: 0.088 0.000 0.177

Calculated values
- energy above the most stable polymorph in this dataset (eV/atom) = 0.063
- crystal system = orthorhombic
- energy of formation (eV per atom) = 0.76

---

# BaTa2Ag

BaTa2Ag after structural relaxation (PBEsol, Alexandria).

a b c (Å): 2.854 5.215 5.868
angles (deg): 90.00 90.00 90.00
Atoms (fractional coordinates):
Ta: 0.000 0.000 0.240
Ta: 0.000 0.000 0.760
Ag: 0.500 0.500 0.000
Ba: 0.500 0.500 0.500

Calculated values
- energy above the most stable polymorph in this dataset (eV/atom) = 0.626
- crystal system = orthorhombic
- energy of formation (eV per atom) = 1.13

---

# BaTcAg2

BaTcAg2 after structural relaxation (PBEsol, Alexandria).

a b c (Å): 3.121 4.856 6.152
angles (deg): 113.25 104.69 90.00
Atoms (fractional coordinates):
Tc: 0.000 0.500 0.000
Ag: 0.283 0.283 0.565
Ba: 0.500 0.000 0.000
Ag: 0.717 0.717 0.435

Calculated values
- crystal system = orthorhombic
- energy of formation (eV per atom) = 0.73

---

# Ba2ZrTcAg

Ba2ZrTcAg after structural relaxation (PBEsol, Alexandria).

a b c (Å): 4.528 6.343 6.343
angles (deg): 90.00 90.00 90.00
Atoms (fractional coordinates):
Zr: 0.000 0.000 0.000
Ba: 0.000 0.500 0.000
Ba: 0.000 0.000 0.500
Tc: 0.500 0.000 0.000
Ag: 0.500 0.500 0.500

Calculated values
- crystal system = tetragonal
- energy of formation (eV per atom) = 0.98

---

Among the records above, which one has the lowest energy of formation? number 4